i | Entry from the Alexandria database: an optimized crystal structure of AlCuNF2 (PBE).

Results
Theoretical density = 4.6 g cm⁻³
SG = P4/mmm (123)

Cell lengths 3.550, 3.550, 4.114 Å; angles 90.00, 90.00, 90.00 degrees
Sites, in units of the cell vectors:
Al1 0.000 0.000 0.000
Cu1 0.500 0.500 0.500
N1 0.000 0.000 0.500
F1 0.000 0.500 0.000
F2 0.500 0.000 0.000

---

ii | Entry from the Alexandria database: an optimized crystal structure of AlCuNF2 (PBE).

Results
Theoretical density = 4.0 g cm⁻³
SG = P4/mmm (123)

Cell lengths 3.748, 3.748, 4.201 Å; angles 90.00, 90.00, 90.00 degrees
Sites, in units of the cell vectors:
Al1 0.000 0.000 0.000
Cu1 0.500 0.500 0.500
N1 0.500 0.500 0.000
F1 0.000 0.500 0.500
F2 0.500 0.000 0.500

---

Most stable of them? i.

---

i | Entry from the Alexandria database: an optimized crystal structure of AlCuN2F (PBE).

Results
Theoretical density = 4.2 g cm⁻³
SG = P4/mmm (123)

Cell lengths 3.795, 3.795, 3.732 Å; angles 90.00, 90.00, 90.00 degrees
Sites, in units of the cell vectors:
Al1 0.000 0.000 0.000
Cu1 0.500 0.500 0.500
N1 0.000 0.500 0.500
N2 0.500 0.000 0.500
F1 0.500 0.500 0.000

---

ii | Entry from the Alexandria database: an optimized crystal structure of AlCuN2F (PBE).

Results
Theoretical density = 4.3 g cm⁻³
SG = P4/mmm (123)

Cell lengths 3.808, 3.808, 3.626 Å; angles 90.00, 90.00, 90.00 degrees
Sites, in units of the cell vectors:
Al1 0.000 0.000 0.000
Cu1 0.500 0.500 0.500
N1 0.000 0.500 0.000
N2 0.500 0.000 0.000
F1 0.000 0.000 0.500

---

Most stable of them? ii.

---

i | Entry from the Alexandria database: an optimized crystal structure of RbAlCuF6 (PBE).

Results
Theoretical density = 3.3 g cm⁻³
SG = P312 (149)

Cell lengths 5.244, 5.244, 6.059 Å; angles 90.00, 90.00, 120.00 degrees
Sites, in units of the cell vectors:
Rb1 0.000 0.000 0.000
Al1 0.667 0.333 0.500
Cu1 0.333 0.667 0.500
F1 0.396 0.031 0.674
F2 0.396 0.366 0.326
F3 0.634 0.031 0.326
F4 0.634 0.604 0.674
F5 0.969 0.366 0.674
F6 0.969 0.604 0.326

---

ii | Entry from the Alexandria database: an optimized crystal structure of RbAlCuF6 (PBE).

Results
Theoretical density = 3.8 g cm⁻³
SG = Pnma (62)

Cell lengths 6.919, 7.172, 10.113 Å; angles 90.00, 90.00, 90.00 degrees
Sites, in units of the cell vectors:
Rb1 0.015 0.250 0.124
Rb2 0.485 0.750 0.624
Rb3 0.515 0.250 0.376
Rb4 0.985 0.750 0.876
Al1 0.000 0.000 0.500
Al2 0.000 0.500 0.500
Al3 0.500 0.000 0.000
Al4 0.500 0.500 0.000
Cu1 0.203 0.250 0.762
Cu2 0.297 0.750 0.262
Cu3 0.703 0.250 0.738
Cu4 0.797 0.750 0.238
F1 0.054 0.250 0.473
F2 0.055 0.750 0.168
F3 0.131 0.004 0.656
F4 0.131 0.496 0.656
F5 0.224 0.555 0.415
F6 0.224 0.945 0.415
F7 0.276 0.055 0.915
F8 0.276 0.445 0.915
F9 0.369 0.504 0.156
F10 0.369 0.996 0.156
F11 0.445 0.250 0.668
F12 0.446 0.750 0.973
F13 0.554 0.250 0.027
F14 0.555 0.750 0.332
F15 0.631 0.004 0.844
F16 0.631 0.496 0.844
F17 0.724 0.555 0.085
F18 0.724 0.945 0.085
F19 0.776 0.055 0.585
F20 0.776 0.445 0.585
F21 0.869 0.504 0.344
F22 0.869 0.996 0.344
F23 0.945 0.250 0.832
F24 0.946 0.750 0.527

---

Most stable of them? ii.

---

i | Entry from the Alexandria database: an optimized crystal structure of AlFeCu (PBE).

Results
Theoretical density = 6.4 g cm⁻³
SG = C2/m (12)

Cell lengths 4.282, 4.282, 5.348 Å; angles 100.45, 100.45, 51.75 degrees
Sites, in units of the cell vectors:
Al1 0.003 0.003 0.244
Al2 0.997 0.997 0.756
Fe1 0.332 0.332 0.933
Fe2 0.668 0.668 0.067
Cu1 0.334 0.334 0.420
Cu2 0.666 0.666 0.580

---

ii | Entry from the Alexandria database: an optimized crystal structure of AlFeCu (PBE).

Results
Theoretical density = 6.5 g cm⁻³
SG = P4/nmm (129)

Cell lengths 2.975, 2.975, 8.433 Å; angles 90.00, 90.00, 90.00 degrees
Sites, in units of the cell vectors:
Al1 0.250 0.250 0.244
Al2 0.750 0.750 0.756
Fe1 0.250 0.250 0.926
Fe2 0.750 0.750 0.074
Cu1 0.250 0.250 0.585
Cu2 0.750 0.750 0.415

---

Most stable of them? ii.

---

i | Entry from the Alexandria database: an optimized crystal structure of AlFeCu (PBE).

Results
Theoretical density = 5.4 g cm⁻³
SG = F-43m (216)

Cell lengths 3.995, 3.995, 3.995 Å; angles 60.00, 60.00, 60.00 degrees
Sites, in units of the cell vectors:
Al1 0.000 0.000 0.000
Fe1 0.500 0.500 0.500
Cu1 0.250 0.250 0.250

---

ii | Entry from the Alexandria database: an optimized crystal structure of AlFeCu (PBE).

Results
Theoretical density = 6.4 g cm⁻³
SG = I4mm (107)

Cell lengths 5.371, 5.371, 5.371 Å; angles 150.31, 150.31, 42.48 degrees
Sites, in units of the cell vectors:
Al1 0.000 0.000 0.000
Fe1 0.667 0.667 0.000
Cu1 0.333 0.333 0.000

---

iii | Entry from the Alexandria database: an optimized crystal structure of AlFeCu (PBE).

Results
Theoretical density = 6.4 g cm⁻³
SG = P3m1 (156)

Cell lengths 4.092, 4.092, 2.629 Å; angles 90.00, 90.00, 120.00 degrees
Sites, in units of the cell vectors:
Al1 0.000 0.000 0.000
Fe1 0.333 0.667 0.588
Cu1 0.667 0.333 0.199

---

Most stable of them? ii.

---

i | Entry from the Alexandria database: an optimized crystal structure of AlFe3Cu (PBE).

Results
Theoretical density = 5.3 g cm⁻³
SG = Pm-3m (221)

Cell lengths 4.325, 4.325, 4.325 Å; angles 90.00, 90.00, 90.00 degrees
Sites, in units of the cell vectors:
Al1 0.000 0.000 0.000
Fe1 0.000 0.000 0.500
Fe2 0.000 0.500 0.000
Fe3 0.500 0.000 0.000
Cu1 0.500 0.500 0.500

---

ii | Entry from the Alexandria database: an optimized crystal structure of AlFe3Cu (PBE).

Results
Theoretical density = 5.3 g cm⁻³
SG = Pm-3m (221)

Cell lengths 4.333, 4.333, 4.333 Å; angles 90.00, 90.00, 90.00 degrees
Sites, in units of the cell vectors:
Al1 0.000 0.000 0.000
Fe1 0.000 0.500 0.500
Fe2 0.500 0.000 0.500
Fe3 0.500 0.500 0.000
Cu1 0.500 0.500 0.500

---

Most stable of them? ii.

---

i | Entry from the Alexandria database: an optimized crystal structure of Al2FeCu2 (PBE).

Results
Theoretical density = 5.9 g cm⁻³
SG = P4/mbm (127)

Cell lengths 6.936, 6.936, 2.752 Å; angles 90.00, 90.00, 90.00 degrees
Sites, in units of the cell vectors:
Al1 0.175 0.325 0.000
Al2 0.325 0.825 0.000
Al3 0.675 0.175 0.000
Al4 0.825 0.675 0.000
Fe1 0.000 0.000 0.500
Fe2 0.500 0.500 0.500
Cu1 0.125 0.625 0.500
Cu2 0.375 0.125 0.500
Cu3 0.625 0.875 0.500
Cu4 0.875 0.375 0.500

---

ii | Entry from the Alexandria database: an optimized crystal structure of Al2FeCu2 (PBE).

Results
Theoretical density = 6.1 g cm⁻³
SG = Cmmm (65)

Cell lengths 7.743, 7.743, 2.856 Å; angles 90.00, 90.00, 157.84 degrees
Sites, in units of the cell vectors:
Al1 0.088 0.912 0.000
Al2 0.912 0.088 0.000
Fe1 0.500 0.500 0.500
Cu1 0.314 0.686 0.500
Cu2 0.686 0.314 0.500

---

Most stable of them? ii.

---

i | Entry from the Alexandria database: an optimized crystal structure of AlFeCuHg2 (PBE).

Results
Theoretical density = 7.7 g cm⁻³
SG = P4/mmm (123)

Cell lengths 5.074, 5.074, 4.578 Å; angles 90.00, 90.00, 90.00 degrees
Sites, in units of the cell vectors:
Al1 0.000 0.000 0.000
Fe1 0.500 0.500 0.500
Cu1 0.500 0.500 0.000
Hg1 0.000 0.500 0.500
Hg2 0.500 0.000 0.500

---

ii | Entry from the Alexandria database: an optimized crystal structure of AlFeCuHg2 (PBE).

Results
Theoretical density = 8.0 g cm⁻³
SG = P4/mmm (123)

Cell lengths 4.938, 4.938, 4.650 Å; angles 90.00, 90.00, 90.00 degrees
Sites, in units of the cell vectors:
Al1 0.000 0.000 0.000
Fe1 0.500 0.500 0.000
Cu1 0.500 0.500 0.500
Hg1 0.000 0.500 0.500
Hg2 0.500 0.000 0.500

---

Most stable of them? ii.

---

i | Entry from the Alexandria database: an optimized crystal structure of Al2GaCu2 (PBE).

Results
Theoretical density = 5.6 g cm⁻³
SG = P4/mbm (127)

Cell lengths 7.438, 7.438, 2.686 Å; angles 90.00, 90.00, 90.00 degrees
Sites, in units of the cell vectors:
Al1 0.174 0.326 0.000
Al2 0.326 0.826 0.000
Al3 0.674 0.174 0.000
Al4 0.826 0.674 0.000
Ga1 0.000 0.000 0.500
Ga2 0.500 0.500 0.500
Cu1 0.123 0.623 0.500
Cu2 0.377 0.123 0.500
Cu3 0.623 0.877 0.500
Cu4 0.877 0.377 0.500

---

ii | Entry from the Alexandria database: an optimized crystal structure of Al2GaCu2 (PBE).

Results
Theoretical density = 5.2 g cm⁻³
SG = I4/mmm (139)

Cell lengths 6.682, 6.682, 6.682 Å; angles 148.80, 148.80, 44.70 degrees
Sites, in units of the cell vectors:
Al1 0.104 0.104 0.000
Al2 0.896 0.896 0.000
Ga1 0.500 0.500 0.000
Cu1 0.250 0.750 0.500
Cu2 0.750 0.250 0.500

---

Most stable of them? i.

---

i | Entry from the Alexandria database: an optimized crystal structure of AlGa2Cu8 (PBE).

Results
Theoretical density = 8.0 g cm⁻³
SG = C2/m (12)

Cell lengths 6.870, 6.870, 5.840 Å; angles 105.15, 105.15, 31.84 degrees
Sites, in units of the cell vectors:
Al1 0.000 0.000 0.000
Ga1 0.278 0.278 0.351
Ga2 0.722 0.722 0.649
Cu1 0.090 0.090 0.453
Cu2 0.179 0.179 0.914
Cu3 0.363 0.363 0.814
Cu4 0.457 0.457 0.271
Cu5 0.543 0.543 0.729
Cu6 0.637 0.637 0.186
Cu7 0.821 0.821 0.086
Cu8 0.910 0.910 0.547

---

ii | Entry from the Alexandria database: an optimized crystal structure of AlGa2Cu8 (PBE).

Results
Theoretical density = 7.6 g cm⁻³
SG = C2/m (12)

Cell lengths 6.746, 6.746, 4.295 Å; angles 102.95, 102.95, 121.78 degrees
Sites, in units of the cell vectors:
Al1 0.000 0.000 0.000
Ga1 0.306 0.694 0.500
Ga2 0.694 0.306 0.500
Cu1 0.099 0.322 0.649
Cu2 0.208 0.792 0.000
Cu3 0.322 0.099 0.649
Cu4 0.410 0.410 0.195
Cu5 0.590 0.590 0.805
Cu6 0.678 0.901 0.351
Cu7 0.792 0.208 0.000
Cu8 0.901 0.678 0.351

---

Most stable of them? i.

---

i | Entry from the Alexandria database: an optimized crystal structure of AlGa2Cu2 (PBE).

Results
Theoretical density = 6.3 g cm⁻³
SG = P2_1/m (11)

Cell lengths 4.378, 4.191, 8.402 Å; angles 90.00, 90.30, 90.00 degrees
Sites, in units of the cell vectors:
Al1 0.186 0.250 0.330
Al2 0.814 0.750 0.670
Ga1 0.236 0.250 0.679
Ga2 0.263 0.250 0.001
Ga3 0.737 0.750 0.999
Ga4 0.764 0.750 0.321
Cu1 0.251 0.750 0.167
Cu2 0.313 0.750 0.501
Cu3 0.687 0.250 0.499
Cu4 0.749 0.250 0.833

---

ii | Entry from the Alexandria database: an optimized crystal structure of AlGa2Cu2 (PBE).

Results
Theoretical density = 6.4 g cm⁻³
SG = P4/mbm (127)

Cell lengths 7.385, 7.385, 2.780 Å; angles 90.00, 90.00, 90.00 degrees
Sites, in units of the cell vectors:
Al1 0.000 0.000 0.000
Al2 0.500 0.500 0.000
Ga1 0.176 0.324 0.500
Ga2 0.324 0.824 0.500
Ga3 0.676 0.176 0.500
Ga4 0.824 0.676 0.500
Cu1 0.122 0.622 0.000
Cu2 0.378 0.122 0.000
Cu3 0.622 0.878 0.000
Cu4 0.878 0.378 0.000

---

Most stable of them? i.